[1]
Material: TaCl3
Method: DFT, PBE
State: relaxed

```
16
Lattice="6.206 0.000 0.000 0.000 12.438 0.000 0.000 0.000 5.575" Properties=species:S:1:pos:R:3 pbc="T T T"
Ta 0.734 3.110 0.453
Ta 2.369 9.329 3.241
Ta 3.837 3.110 2.335
Ta 5.472 9.329 5.122
Cl 0.279 9.329 1.783
Cl 1.015 7.674 4.512
Cl 1.015 10.983 4.512
Cl 2.088 1.455 1.725
Cl 2.088 4.764 1.725
Cl 2.824 3.110 4.571
Cl 3.382 9.329 1.005
Cl 4.118 7.674 3.851
Cl 4.118 10.983 3.851
Cl 5.191 1.455 1.063
Cl 5.191 4.764 1.063
Cl 5.927 3.110 3.793
```

Values from the calculation:
ΔE_f (raw) (meV/atom): -804
Symmetry: Pnma
Final energy (Ry per atom): -0.3787


[2]
Material: CeSn2Pd7Au2
Method: DFT, PBE
State: relaxed

```
12
Lattice="2.887 -2.940 0.000 2.887 2.940 0.000 0.000 0.000 12.901" Properties=species:S:1:pos:R:3 pbc="T T T"
Ce 0.000 0.000 0.000
Sn 0.000 0.000 4.245
Sn 0.000 0.000 8.655
Pd 1.443 1.470 2.050
Pd 1.443 1.470 10.851
Pd 2.887 1.422 6.450
Pd 1.443 -1.470 2.050
Pd 1.443 -1.470 10.851
Pd 2.887 0.000 0.000
Pd 2.887 -1.422 6.450
Au 2.887 0.000 4.033
Au 2.887 0.000 8.867
```

Values from the calculation:
Symmetry: Cmmm
Formation enthalpy at 0 K (meV/atom): -443
Final energy (Ry per atom): -0.3807


[3]
Material: La2TaRe2
Method: DFT, PBE
State: relaxed

```
10
Lattice="3.999 0.000 0.000 0.000 3.999 0.000 0.000 0.000 14.231" Properties=species:S:1:pos:R:3 pbc="T T T"
La 0.000 2.000 3.558
La 0.000 2.000 10.673
La 2.000 0.000 3.558
La 2.000 0.000 10.673
Ta 0.000 0.000 0.000
Ta 2.000 2.000 7.116
Re 0.000 0.000 5.995
Re 0.000 0.000 8.236
Re 2.000 2.000 1.121
Re 2.000 2.000 13.111
```

Values from the calculation:
Symmetry: I4/mmm
Energy above the lowest structure with this stoichiometry (eV per atom): 0.8643
Formation enthalpy at 0 K (meV/atom): 1175
Final energy (Ry per atom): -0.5987